Version i
! PmPrGe4 | Alexandria | PBE | optimized geometry; values from VASP
! volume = 133.2 Å³/cell
! total magnetization = 0.001 μB/atom
&SYSTEM
  ibrav = 0, nat = 6, ntyp = 3
/
ATOMIC_SPECIES
Ge 72.64 Ge.upf
Pm 145.00 Pm.upf
Pr 140.91 Pr.upf
CELL_PARAMETERS angstrom
-3.363 -4.583 0.747
2.152 -5.273 -0.661
0.742 -3.386 4.566
ATOMIC_POSITIONS angstrom
Ge 1.400 -5.980 2.536
Ge -0.668 -6.583 0.612
Ge -1.378 -5.632 3.245
Ge -0.294 -8.288 2.912
Pm 0.000 0.000 0.000
Pr -0.117 -3.310 1.163

***

Version ii
! PmPrGe4 | Alexandria | PBE | optimized geometry; values from VASP
! volume = 585.0 Å³/cell
! total magnetization = 0.000 μB/atom
&SYSTEM
  ibrav = 0, nat = 24, ntyp = 3
/
ATOMIC_SPECIES
Ge 72.64 Ge.upf
Pm 145.00 Pm.upf
Pr 140.91 Pr.upf
CELL_PARAMETERS angstrom
-2.821 0.503 -3.047
4.669 -5.581 -5.244
-8.165 -12.061 5.565
ATOMIC_POSITIONS angstrom
Ge -5.713 -11.685 0.487
Ge 0.898 -6.670 -4.804
Ge -5.999 -14.422 0.300
Ge -7.214 -10.469 2.078
Ge -3.473 -3.453 -0.227
Ge -0.603 -5.453 -3.213
Ge 2.414 -4.952 -5.923
Ge -0.821 -9.701 -3.713
Ge -8.730 -12.187 3.197
Ge -3.530 -7.493 -0.841
Ge -2.404 -5.308 -1.522
Ge -0.317 -2.716 -3.026
Ge -2.843 -13.685 -2.499
Ge -2.786 -9.646 -1.885
Ge -5.495 -7.438 0.987
Ge -3.912 -11.831 -1.203
Pm 2.263 -4.592 -2.853
Pm -0.754 -11.897 -1.267
Pm -5.758 -13.050 3.174
Pm -2.741 -5.745 1.589
Pr -3.310 -9.825 1.441
Pr -0.587 -2.171 0.184
Pr -2.909 -15.471 0.137
Pr -0.185 -7.817 -1.120

***

Q: Which of them is the most stable? A: version ii.

***

Version i
! PmPrGe | Alexandria | PBE | optimized geometry; values from VASP
! volume = 87.1 Å³/cell
! total magnetization = 0.000 μB/atom
&SYSTEM
  ibrav = 0, nat = 3, ntyp = 3
/
ATOMIC_SPECIES
Ge 72.64 Ge.upf
Pm 145.00 Pm.upf
Pr 140.91 Pr.upf
CELL_PARAMETERS angstrom
-1.445 2.829 2.968
-4.458 -0.437 -1.753
1.500 -2.922 3.515
ATOMIC_POSITIONS angstrom
Ge -2.889 -0.451 0.858
Pm -0.123 0.241 0.253
Pr -1.392 -0.321 3.619

***

Version ii
! PmPrGe | Alexandria | PBE | optimized geometry; values from VASP
! volume = 253.3 Å³/cell
! total magnetization = 0.195 μB/atom
&SYSTEM
  ibrav = 0, nat = 9, ntyp = 3
/
ATOMIC_SPECIES
Ge 72.64 Ge.upf
Pr 140.91 Pr.upf
Pm 145.00 Pm.upf
CELL_PARAMETERS angstrom
-3.056 -2.504 1.799
4.538 -0.648 6.809
-5.438 6.103 -0.743
ATOMIC_POSITIONS angstrom
Ge 0.000 0.000 0.000
Ge -3.641 2.601 2.674
Ge -0.316 0.351 5.191
Pr -0.369 2.234 2.484
Pr 2.680 -0.382 4.022
Pr -3.212 3.605 -0.439
Pm -2.965 0.360 0.703
Pm -0.329 -1.423 2.698
Pm -2.191 2.762 5.363

***

Version iii
! PmPrGe | Alexandria | PBE | optimized geometry; values from VASP
! volume = 92.2 Å³/cell
! total magnetization = 0.000 μB/atom
&SYSTEM
  ibrav = 0, nat = 3, ntyp = 3
/
ATOMIC_SPECIES
Pr 140.91 Pr.upf
Ge 72.64 Ge.upf
Pm 145.00 Pm.upf
CELL_PARAMETERS angstrom
-3.124 -2.985 -2.655
0.912 -0.899 -4.907
1.543 -4.595 -1.493
ATOMIC_POSITIONS angstrom
Pr -0.335 -4.239 -4.527
Ge -0.167 -2.120 -2.264
Pm 0.000 0.000 0.000

***

Version iv
! PmPrGe | Alexandria | PBE | optimized geometry; values from VASP
! volume = 170.8 Å³/cell
! total magnetization = 0.001 μB/atom
&SYSTEM
  ibrav = 0, nat = 6, ntyp = 3
/
ATOMIC_SPECIES
Pr 140.91 Pr.upf
Pm 145.00 Pm.upf
Ge 72.64 Ge.upf
CELL_PARAMETERS angstrom
4.474 0.035 -0.618
-0.003 4.447 0.235
-3.310 -0.479 9.018
ATOMIC_POSITIONS angstrom
Pr 2.909 0.104 0.195
Pr 0.630 2.330 0.242
Pm 1.391 -0.187 5.664
Pm -1.161 2.143 3.790
Ge 0.978 -0.024 2.663
Ge -0.748 1.982 6.792

***

Q: Which of them is the most stable? A: version ii.

***

Version i
! Pm3Pr2Ge4 | Alexandria | PBE | optimized geometry; values from VASP
! volume = 500.0 Å³/cell
! total magnetization = 0.000 μB/atom
&SYSTEM
  ibrav = 0, nat = 18, ntyp = 3
/
ATOMIC_SPECIES
Pm 145.00 Pm.upf
Pr 140.91 Pr.upf
Ge 72.64 Ge.upf
CELL_PARAMETERS angstrom
7.114 0.000 0.000
0.000 8.501 0.000
-3.557 0.000 8.268
ATOMIC_POSITIONS angstrom
Pm 3.557 4.250 0.000
Pm 0.000 0.000 0.000
Pm 1.779 6.376 4.876
Pm 5.336 2.125 3.392
Pm -1.779 6.376 4.876
Pm 1.779 2.125 3.392
Pr 3.557 7.705 1.764
Pr 0.000 0.796 6.503
Pr 3.557 3.455 6.503
Pr 0.000 5.046 1.764
Ge 1.779 6.376 7.796
Ge 5.336 2.125 0.471
Ge 3.557 0.484 5.151
Ge 1.779 2.125 0.471
Ge 0.000 8.016 3.117
Ge -1.779 6.376 7.796
Ge 0.000 3.766 5.151
Ge 3.557 4.735 3.117

***

Version ii
! Pm3Pr2Ge4 | Alexandria | PBE | optimized geometry; values from VASP
! volume = 480.9 Å³/cell
! total magnetization = 0.000 μB/atom
&SYSTEM
  ibrav = 0, nat = 18, ntyp = 3
/
ATOMIC_SPECIES
Pr 140.91 Pr.upf
Ge 72.64 Ge.upf
Pm 145.00 Pm.upf
CELL_PARAMETERS angstrom
7.791 0.092 0.000
-2.475 7.601 0.000
0.000 0.000 8.089
ATOMIC_POSITIONS angstrom
Pr 1.267 6.124 5.510
Pr 0.153 1.523 1.465
Pr 4.048 1.569 2.580
Pr 5.163 6.170 6.624
Ge 5.562 3.796 1.043
Ge 1.667 3.750 3.002
Ge 2.673 0.655 7.821
Ge 2.642 7.038 0.268
Ge 3.649 3.943 5.087
Ge -1.253 6.992 3.776
Ge 6.569 0.701 4.313
Ge -0.247 3.897 7.047
Pm 3.932 5.814 2.625
Pm 5.280 1.925 6.669
Pm 1.384 1.879 5.465
Pm -1.237 3.801 4.045
Pm 0.036 5.768 1.420
Pm 2.658 3.846 0.000

***

Q: Which of them is the most stable? A: version ii.

***

Version i
! Pm2PrGe2 | Alexandria | PBE | optimized geometry; values from VASP
! volume = 288.7 Å³/cell
! total magnetization = 0.000 μB/atom
&SYSTEM
  ibrav = 0, nat = 10, ntyp = 3
/
ATOMIC_SPECIES
Pm 145.00 Pm.upf
Pr 140.91 Pr.upf
Ge 72.64 Ge.upf
CELL_PARAMETERS angstrom
5.155 0.000 0.000
0.000 6.255 0.503
0.000 -0.721 8.897
ATOMIC_POSITIONS angstrom
Pm 3.866 1.126 0.839
Pm 3.866 4.766 4.116
Pm 1.289 0.768 5.284
Pm 1.289 4.407 8.561
Pr 3.866 2.584 6.926
Pr 1.289 2.949 2.474
Ge 1.289 1.163 8.302
Ge 1.289 4.011 5.546
Ge 3.866 4.371 1.098
Ge 3.866 1.523 3.854

***

Version ii
! Pm2PrGe2 | Alexandria | PBE | optimized geometry; values from VASP
! volume = 268.6 Å³/cell
! total magnetization = 0.000 μB/atom
&SYSTEM
  ibrav = 0, nat = 10, ntyp = 3
/
ATOMIC_SPECIES
Ge 72.64 Ge.upf
Pm 145.00 Pm.upf
Pr 140.91 Pr.upf
CELL_PARAMETERS angstrom
-1.166 3.765 -1.663
-7.593 -1.676 1.527
0.693 3.368 7.139
ATOMIC_POSITIONS angstrom
Ge -3.203 2.525 2.460
Ge -4.863 2.931 4.545
Ge -7.179 0.813 1.371
Ge -0.887 4.643 5.633
Pm -4.884 -0.027 3.362
Pm -1.194 0.293 1.500
Pm -2.016 1.718 5.305
Pm -5.706 1.398 7.167
Pr -0.237 3.566 2.738
Pr -4.379 1.044 -0.068

***

Q: Which of them is the most stable? A: version ii.

***

Version i
! PmPr2Ge2 | Alexandria | PBE | optimized geometry; values from VASP
! volume = 274.7 Å³/cell
! total magnetization = 0.000 μB/atom
&SYSTEM
  ibrav = 0, nat = 10, ntyp = 3
/
ATOMIC_SPECIES
Ge 72.64 Ge.upf
Pr 140.91 Pr.upf
Pm 145.00 Pm.upf
CELL_PARAMETERS angstrom
4.416 0.000 0.000
0.000 7.887 0.000
0.000 0.000 7.887
ATOMIC_POSITIONS angstrom
Ge 0.000 6.944 4.886
Ge 0.000 0.943 3.001
Ge 0.000 3.001 6.944
Ge 0.000 4.886 0.943
Pr 2.208 6.510 2.567
Pr 2.208 2.567 1.377
Pr 2.208 1.377 5.320
Pr 2.208 5.320 6.510
Pm 0.000 0.000 0.000
Pm 0.000 3.943 3.943

***

Version ii
! PmPr2Ge2 | Alexandria | PBE | optimized geometry; values from VASP
! volume = 279.4 Å³/cell
! total magnetization = 0.000 μB/atom
&SYSTEM
  ibrav = 0, nat = 10, ntyp = 3
/
ATOMIC_SPECIES
Pr 140.91 Pr.upf
Pm 145.00 Pm.upf
Ge 72.64 Ge.upf
CELL_PARAMETERS angstrom
4.507 0.000 0.000
2.253 6.321 0.160
2.253 1.211 9.837
ATOMIC_POSITIONS angstrom
Pr 4.507 3.000 6.809
Pr 4.507 4.532 3.188
Pr 6.760 5.706 9.091
Pr 2.253 1.826 0.906
Pm 4.507 0.938 3.539
Pm 4.507 6.594 6.458
Ge 6.760 2.063 8.835
Ge 6.760 4.898 5.625
Ge 2.253 5.469 1.163
Ge 2.253 2.634 4.372

***

Q: Which of them is the most stable? A: version i.

***

Version i
! PmPrGePt | Alexandria | PBE | optimized geometry; values from VASP
! volume = 98.1 Å³/cell
! total magnetization = 0.000 μB/atom
&SYSTEM
  ibrav = 0, nat = 4, ntyp = 4
/
ATOMIC_SPECIES
Ge 72.64 Ge.upf
Pm 145.00 Pm.upf
Pt 195.08 Pt.upf
Pr 140.91 Pr.upf
CELL_PARAMETERS angstrom
-3.489 2.641 2.767
-4.738 -1.953 0.734
-1.405 -1.692 4.686
ATOMIC_POSITIONS angstrom
Ge -2.408 -0.251 2.047
Pm 0.000 0.000 0.000
Pt -7.223 -0.754 6.140
Pr -4.816 -0.502 4.093

***

Version ii
! PmPrGePt | Alexandria | PBE | optimized geometry; values from VASP
! volume = 100.6 Å³/cell
! total magnetization = 0.000 μB/atom
&SYSTEM
  ibrav = 0, nat = 4, ntyp = 4
/
ATOMIC_SPECIES
Pm 145.00 Pm.upf
Pt 195.08 Pt.upf
Pr 140.91 Pr.upf
Ge 72.64 Ge.upf
CELL_PARAMETERS angstrom
4.133 0.000 0.000
0.000 4.327 0.000
-2.067 0.000 5.622
ATOMIC_POSITIONS angstrom
Pm 2.067 2.164 4.101
Pt 0.000 0.000 4.685
Pr 0.000 0.000 1.593
Ge 2.067 2.164 0.867

***

Q: Which of them is the most stable? A: version ii.

***

Version i
! PmGe4Pt2 | Alexandria | PBE | optimized geometry; values from VASP
! volume = 272.2 Å³/cell
! total magnetization = 0.000 μB/atom
&SYSTEM
  ibrav = 0, nat = 14, ntyp = 3
/
ATOMIC_SPECIES
Pt 195.08 Pt.upf
Ge 72.64 Ge.upf
Pm 145.00 Pm.upf
CELL_PARAMETERS angstrom
4.171 0.000 0.000
0.000 8.078 0.000
0.000 0.000 8.078
ATOMIC_POSITIONS angstrom
Pt 2.085 5.781 5.781
Pt 2.085 2.298 2.298
Pt 0.000 6.337 1.741
Pt 0.000 1.741 6.337
Ge 2.085 4.694 1.494
Ge 0.000 0.655 2.545
Ge 2.085 6.585 3.384
Ge 0.000 2.545 0.655
Ge 0.000 7.423 5.533
Ge 2.085 1.494 4.694
Ge 2.085 3.384 6.585
Ge 0.000 5.533 7.423
Pm 2.085 0.000 0.000
Pm 0.000 4.039 4.039

***

Version ii
! PmGe4Pt2 | Alexandria | PBE | optimized geometry; values from VASP
! volume = 528.6 Å³/cell
! total magnetization = 0.000 μB/atom
&SYSTEM
  ibrav = 0, nat = 28, ntyp = 3
/
ATOMIC_SPECIES
Ge 72.64 Ge.upf
Pt 195.08 Pt.upf
Pm 145.00 Pm.upf
CELL_PARAMETERS angstrom
4.341 0.000 0.000
0.000 6.978 0.000
0.000 0.000 17.451
ATOMIC_POSITIONS angstrom
Ge 3.256 6.774 1.114
Ge 3.256 1.192 14.353
Ge 1.085 1.687 3.411
Ge 1.085 3.285 7.611
Ge 1.085 5.785 3.098
Ge 1.085 4.681 11.823
Ge 1.085 0.971 9.387
Ge 3.256 2.296 5.627
Ge 3.256 6.006 8.064
Ge 1.085 0.204 16.336
Ge 3.256 5.176 5.314
Ge 1.085 2.518 0.661
Ge 3.256 3.693 9.840
Ge 3.256 5.291 14.040
Ge 3.256 4.460 16.789
Ge 1.085 1.802 12.136
Pt 1.085 5.326 9.235
Pt 1.085 6.658 13.757
Pt 1.085 3.808 5.031
Pt 3.256 3.169 12.420
Pt 1.085 5.140 0.509
Pt 3.256 1.651 8.216
Pt 3.256 1.837 16.942
Pt 3.256 0.320 3.694
Pm 1.085 0.105 6.256
Pm 3.256 3.594 2.469
Pm 1.085 3.383 14.981
Pm 3.256 6.872 11.195

***

Q: Which of them is the most stable? A: version ii.

***

Version i
! PmGe2Pt3 | Alexandria | PBE | optimized geometry; values from VASP
! volume = 331.8 Å³/cell
! total magnetization = 0.000 μB/atom
&SYSTEM
  ibrav = 0, nat = 18, ntyp = 3
/
ATOMIC_SPECIES
Pt 195.08 Pt.upf
Ge 72.64 Ge.upf
Pm 145.00 Pm.upf
CELL_PARAMETERS angstrom
4.084 0.000 0.000
-2.042 7.963 -2.539
0.000 0.105 10.170
ATOMIC_POSITIONS angstrom
Pt 2.042 4.490 4.811
Pt 0.000 3.578 2.820
Pt 2.042 2.881 8.831
Pt 0.000 0.683 3.159
Pt 2.042 0.053 5.085
Pt 2.042 1.926 1.359
Pt 0.000 5.187 -1.200
Pt 0.000 6.142 6.272
Pt 2.042 7.385 4.472
Ge 0.000 3.201 0.320
Ge 2.042 0.677 7.723
Ge 2.042 2.248 3.883
Ge 0.000 7.391 -0.092
Ge 2.042 4.867 7.311
Ge 0.000 5.820 3.748
Pm 0.000 2.517 6.251
Pm 2.042 5.551 1.380
Pm 0.000 0.000 0.000

***

Version ii
! PmGe2Pt3 | Alexandria | PBE | optimized geometry; values from VASP
! volume = 130.2 Å³/cell
! total magnetization = 0.000 μB/atom
&SYSTEM
  ibrav = 0, nat = 6, ntyp = 3
/
ATOMIC_SPECIES
Pm 145.00 Pm.upf
Ge 72.64 Ge.upf
Pt 195.08 Pt.upf
CELL_PARAMETERS angstrom
-1.713 1.545 -3.367
-3.036 -2.711 0.301
-1.690 5.621 5.913
ATOMIC_POSITIONS angstrom
Pm 0.000 0.000 0.000
Ge -2.807 3.479 3.025
Ge -3.632 0.975 -0.178
Pt -2.889 3.291 0.506
Pt -2.375 -0.583 -1.533
Pt -3.550 1.163 2.340

***

Q: Which of them is the most stable? A: version i.

***

Version i
! PmGe3Pt | Alexandria | PBE | optimized geometry; values from VASP
! volume = 101.3 Å³/cell
! total magnetization = 0.000 μB/atom
&SYSTEM
  ibrav = 0, nat = 5, ntyp = 3
/
ATOMIC_SPECIES
Ge 72.64 Ge.upf
Pm 145.00 Pm.upf
Pt 195.08 Pt.upf
CELL_PARAMETERS angstrom
-3.499 1.004 -2.697
1.701 -2.703 -3.213
-1.630 -2.957 4.819
ATOMIC_POSITIONS angstrom
Ge -3.086 -1.510 -0.364
Ge -2.058 -3.098 1.517
Ge -0.486 -3.363 -0.622
Pm -0.003 -0.004 0.002
Pt -1.680 -2.024 -2.380

***

Version ii
! PmGe3Pt | Alexandria | PBE | optimized geometry; values from VASP
! volume = 207.8 Å³/cell
! total magnetization = 0.000 μB/atom
&SYSTEM
  ibrav = 0, nat = 10, ntyp = 3
/
ATOMIC_SPECIES
Pm 145.00 Pm.upf
Ge 72.64 Ge.upf
Pt 195.08 Pt.upf
CELL_PARAMETERS angstrom
5.898 0.000 0.000
0.000 5.710 -0.002
0.000 0.000 6.171
ATOMIC_POSITIONS angstrom
Pm 2.460 1.800 4.326
Pm 5.409 0.214 1.235
Ge 5.709 2.770 2.870
Ge 2.758 4.954 5.958
Ge 5.708 2.771 5.774
Ge 2.761 4.953 2.690
Ge 2.156 1.486 1.242
Ge 5.105 0.529 4.323
Pt 3.891 3.225 1.237
Pt 0.942 4.500 4.323

***

Q: Which of them is the most stable? A: version i.

***

Version i
! Pm2Ge3Pt | Alexandria | PBE | optimized geometry; values from VASP
! volume = 265.0 Å³/cell
! total magnetization = 0.000 μB/atom
&SYSTEM
  ibrav = 0, nat = 12, ntyp = 3
/
ATOMIC_SPECIES
Pt 195.08 Pt.upf
Ge 72.64 Ge.upf
Pm 145.00 Pm.upf
CELL_PARAMETERS angstrom
-4.255 0.200 -4.212
4.217 -0.523 -4.223
-0.608 -7.190 4.502
ATOMIC_POSITIONS angstrom
Pt -0.418 -4.898 0.189
Pt -0.228 -2.614 -4.123
Ge -2.224 -1.214 -4.167
Ge -0.435 -5.043 -4.029
Ge 1.578 -6.298 0.234
Ge -2.622 -5.940 0.239
Ge 1.976 -1.573 -4.172
Ge -0.211 -2.470 0.095
Pm 1.795 -3.937 -1.969
Pm -0.009 -0.080 -2.088
Pm -2.441 -3.576 -1.964
Pm -0.028 -0.243 -6.347

***

Version ii
! Pm2Ge3Pt | Alexandria | PBE | optimized geometry; values from VASP
! volume = 132.6 Å³/cell
! total magnetization = 0.000 μB/atom
&SYSTEM
  ibrav = 0, nat = 6, ntyp = 3
/
ATOMIC_SPECIES
Pm 145.00 Pm.upf
Ge 72.64 Ge.upf
Pt 195.08 Pt.upf
CELL_PARAMETERS angstrom
-3.836 -1.068 1.076
1.621 -3.115 2.687
0.192 4.805 5.456
ATOMIC_POSITIONS angstrom
Pm 0.096 2.404 2.730
Pm 0.811 -1.550 1.352
Ge -1.884 0.306 1.492
Ge -1.758 3.463 5.077
Ge -0.980 1.098 5.504
Pt -1.044 -0.520 3.666

***

Q: Which of them is the most stable? A: version i.